No. 1
This record from Alexandria via LeMat-Bulk describes an optimized crystal structure of In9Bi2Pb. The functional is PBE.

Properties
- total energy (eV per cell) = -35.9
- magnetization (μB per formula unit) = 0.0

a b c (Å): 4.9714 4.9714 13.9883
angles (deg): 90.00 90.00 90.00
With the nearest neighbours (Å) after each atom.
Space group P4/mmm (No. 123)
One atom of each set of equivalent atoms:
In  0.0000  0.0000  0.0000 x1  8 In 3.40, 4 Pb 3.52
In  0.0000  0.0000  0.3318 x2  8 In 3.40-3.42, 4 Bi 3.52
In  0.0000  0.5000  0.1658 x4  8 In 3.40-3.52, 2 Pb 3.40, 2 Bi 3.41
In  0.0000  0.5000  0.5000 x2  4 Bi 3.41, 8 In 3.42-3.52
Bi  0.5000  0.5000  0.3327 x2  12 In 3.41-3.52
Pb  0.5000  0.5000  0.0000 x1  12 In 3.40-3.52



No. 2
This record from Alexandria via LeMat-Bulk describes an optimized crystal structure of InBi3Pb3. The functional is PBE.

Properties
- total energy (eV per cell) = -99.7
- magnetization (μB per formula unit) = 0.0

a b c (Å): 8.9568 11.7140 9.3014
angles (deg): 90.00 90.19 90.00
With the nearest neighbours (Å) after each atom.
Space group C2/m (No. 12)
One atom of each set of equivalent atoms:
In  0.1565  0.0000  0.3970 x4  4 Bi 3.11-3.30, 1 In 3.40, 2 Pb 3.40
Bi  0.1880  0.0000  0.7299 x4  2 In 3.11-3.30, 1 Pb 3.24, 2 Bi 3.31
Bi  0.2425  0.2776  0.7692 x8  1 In 3.16, 5 Pb 3.25-3.43, 1 Bi 3.31
Pb  0.0000  0.1490  0.0000 x4  6 Bi 3.26-3.50, 1 Pb 3.49
Pb  0.0000  0.2516  0.5000 x4  4 Bi 3.32-3.43, 2 In 3.40
Pb  0.0350  0.5000  0.8312 x4  1 Pb 3.20, 3 Bi 3.24-3.25, 1 In 3.49